# 1
Density functional theory data (PBE) for a geometry-optimized AlCo2Hg structure.

Unit cell a=5.0661 b=5.0661 c=5.0661 alpha=144.68 beta=130.25 gamma=62.48
Each line ends with the local moment (μB).
Element x y z (fractional)
Co1 0.7693 0.2693 0.5000  1.34
Co2 0.9970 0.9970 0.0000  1.30
Al1 0.2318 0.7318 0.5000  -0.02
Hg1 0.5020 0.5020 0.0000  -0.03

Results
The value obtained for the formation energy from the elements is 0.166 eV/atom.

=====

# 2
Density functional theory data (PBE) for a geometry-optimized AlCoHg2 structure.

Unit cell a=2.9262 b=2.9901 c=9.8194 alpha=58.68 beta=90.00 gamma=90.00
Element x y z (fractional)
Hg1 0.5000 0.1950 0.2715
Co1 0.5000 0.8141 0.7160
Hg2 0.0000 0.9275 0.9427
Al1 0.0000 0.5634 0.5698

Results
The value obtained for the formation energy from the elements is 0.053 eV/atom.

=====

# 3
Density functional theory data (PBE) for a geometry-optimized AlCoHg2 structure.

Unit cell a=4.1484 b=4.1528 c=4.0013 alpha=90.00 beta=90.00 gamma=90.00
Each line ends with the local moment (μB).
Element x y z (fractional)
Al1 0.5000 0.0000 0.5000  0.00
Hg1 0.0000 0.0000 0.0000  -0.01
Co1 0.0000 0.5000 0.5000  1.13
Hg2 0.5000 0.5000 0.0000  -0.01

Results
The value obtained for the formation energy from the elements is 0.342 eV/atom.

=====

# 4
Density functional theory data (PBE) for a geometry-optimized Al3CoHg structure.

Unit cell a=4.5656 b=4.5656 c=4.5656 alpha=90.00 beta=90.00 gamma=90.00
Element x y z (fractional)
Co1 0.0000 0.0000 0.0000
Al1 0.0000 0.0000 0.5000
Al2 0.5000 0.0000 0.0000
Al3 0.0000 0.5000 0.0000
Hg1 0.5000 0.5000 0.5000

Results
The value obtained for the formation energy from the elements is -0.077 eV/atom.

=====

# 5
Density functional theory data (PBE) for a geometry-optimized AlCoHg3 structure.

Unit cell a=5.0162 b=5.0162 c=5.0162 alpha=90.00 beta=90.00 gamma=90.00
Element x y z (fractional)
Co1 0.0000 0.0000 0.0000
Hg1 0.0000 0.0000 0.5000
Hg2 0.0000 0.5000 0.0000
Hg3 0.5000 0.0000 0.0000
Al1 0.5000 0.5000 0.5000

Results
The value obtained for the formation energy from the elements is 0.526 eV/atom.

=====

# 6
Density functional theory data (PBE) for a geometry-optimized AlCo2Hg2 structure.

Unit cell a=6.1497 b=6.1497 c=4.2004 alpha=90.00 beta=90.00 gamma=90.00
Element x y z (fractional)
Hg1 0.6719 0.8281 0.5000
Hg2 0.8281 0.3281 0.5000
Hg3 0.1719 0.6719 0.5000
Al1 0.5000 0.5000 0.0000
Co1 0.6329 0.1329 0.0000
Co2 0.3671 0.8671 0.0000
Co3 0.1329 0.3671 0.0000
Hg4 0.3281 0.1719 0.5000
Co4 0.8671 0.6329 0.0000
Al2 0.0000 0.0000 0.0000

Results
The value obtained for the formation energy from the elements is 0.170 eV/atom.

=====

# 7
Density functional theory data (PBE) for a geometry-optimized AlCoHg2 structure.

Unit cell a=9.0006 b=9.0006 c=6.7681 alpha=48.32 beta=48.32 gamma=90.00
Element x y z (fractional)
Hg1 0.8750 0.0072 0.7500
Al1 0.5000 0.5000 0.0000
Al2 0.2500 0.7500 0.5000
Hg2 0.9928 0.6250 0.2500
Hg3 0.7572 0.1250 0.2500
Co1 0.7500 0.2500 0.5000
Hg4 0.3750 0.2428 0.7500
Co2 0.0000 0.0000 0.0000

Results
The value obtained for the formation energy from the elements is 0.393 eV/atom.

=====

# 8
Density functional theory data (PBE) for a geometry-optimized AlCoHg2 structure.

Unit cell a=4.8256 b=4.8256 c=3.1738 alpha=90.00 beta=90.00 gamma=107.45
Each line ends with the local moment (μB).
Element x y z (fractional)
Al1 0.5000 0.0000 0.5000  -0.01
Co1 0.0000 0.5000 0.5000  1.33
Hg1 0.5000 0.5000 0.0000  -0.02
Hg2 0.0000 0.0000 0.0000  -0.02

Results
The value obtained for the formation energy from the elements is 0.369 eV/atom.